A geometry-optimized BaTmSe2O8 structure. Source: Alexandria, functional PBE.

Results
Fermi-level density of states = 3.4 states/eV/cell
crystal system = trigonal
formation energy (no corrections) = -1.673 eV/atom

abc: 5.7594 5.7594 7.7335
angles: 90.00 90.00 120.00
Space group P-3 (No. 147)
One atom of each set of equivalent atoms:
Ba1 0.0000 0.0000 0.0000 [1 per cell]
Tm1 0.0000 0.0000 0.5000 [1 per cell]
Se1 0.3333 0.6667 0.7517 [2 per cell]
O1 0.1601 0.3283 0.6923 [6 per cell]
O2 0.3333 0.6667 0.9680 [2 per cell]